Record 1
Compound: HoCr6Ge6
Source: the Alexandria database
Functional: SCAN
Structure: PBEsol geometry

The space group is P6/mmm (No. 191) and the conventional cell measures 5.0258, 5.0258 and 8.2036 Å, with angles of 90.00, 90.00 and 120.00 degrees. The asymmetric unit holds Ho at (0.0000, 0.0000, 0.0000), Cr at (0.0000, 0.5000, 0.2501), Ge at (0.0000, 0.0000, 0.3456), Ge at (0.3333, 0.6667, 0.0000) and Ge at (0.3333, 0.6667, 0.5000).

Its magnetic moment is 0.00 μB/f.u. Its formation energy is -0.24 eV per atom. Its electronic total energy is -21.30 eV per atom.


Record 2
Compound: H3PtS
Source: the Alexandria database
Functional: SCAN
Structure: PBEsol geometry

The space group is Pm-3m (No. 221) and the conventional cell measures 3.564, 3.564 and 3.564 Å, with angles of 90.00, 90.00 and 90.00 degrees. The asymmetric unit holds H at (0.000, 0.000, 0.500), Pt at (0.000, 0.000, 0.000) and S at (0.500, 0.500, 0.500).

Its magnetic moment is 1.71 μB/f.u. Its electronic total energy is -17.34 eV per atom.


Record 3
Compound: Ca4NiAs
Source: the Alexandria database
Functional: SCAN
Structure: PBEsol geometry

The space group is F-43m (No. 216) and the conventional cell measures 8.657, 8.657 and 8.657 Å, with angles of 90.00, 90.00 and 90.00 degrees. The asymmetric unit holds Ca at (0.125, 0.125, 0.125), Ni at (0.250, 0.250, 0.750) and As at (0.000, 0.000, 0.500).

Its magnetic moment is 0.85 μB/f.u. Its formation energy is 0.64 eV per atom. Its electronic total energy is -11.87 eV per atom.


Which of these has the highest electronic total energy?
Ca4NiAs